Version i
# La2PuCu PBE optimized geometry
# - spin magnetization (μB/atom) = 1.63
# - N(E_F) (states/eV/atom) = 2.396
data_La2PuCu
_chemical_formula_sum 'La2 Pu1 Cu1'
_cell_length_a 3.614
_cell_length_b 3.614
_cell_length_c 8.595
_cell_angle_alpha 90.00
_cell_angle_beta 90.00
_cell_angle_gamma 90.00
_symmetry_space_group_name_H-M 'P 4/m m m'
_symmetry_Int_Tables_number 123
_symmetry_space_group_name_Hall '-P 4 2'
loop_
_atom_site_label
_atom_site_type_symbol
_atom_site_fract_x
_atom_site_fract_y
_atom_site_fract_z
_atom_site_occupancy
La1 La 0.000 0.000 0.213 1
Pu1 Pu 0.500 0.500 0.500 1
Cu1 Cu 0.500 0.500 0.000 1

=====

Version ii
# La2PuCu PBE optimized geometry
# - spin magnetization (μB/atom) = 1.57
# - N(E_F) (states/eV/atom) = 3.367
data_La2PuCu
_chemical_formula_sum 'La6 Pu3 Cu3'
_cell_length_a 3.5194
_cell_length_b 3.5194
_cell_length_c 33.1005
_cell_angle_alpha 90.00
_cell_angle_beta 90.00
_cell_angle_gamma 120.00
_symmetry_space_group_name_H-M 'R -3 m'
_symmetry_Int_Tables_number 166
_symmetry_space_group_name_Hall '-R 3 2"'
loop_
_atom_site_label
_atom_site_type_symbol
_atom_site_fract_x
_atom_site_fract_y
_atom_site_fract_z
_atom_site_occupancy
La1 La 0.0000 0.0000 0.0999 1
Pu1 Pu 0.0000 0.0000 0.0000 1
Cu1 Cu 0.0000 0.0000 0.5000 1

=====

It is version ii that is the least stable of them.

=====

Version i
# RbLa2Cu PBE optimized geometry
# - spin magnetization (μB/atom) = 0.00
# - N(E_F) (states/eV/atom) = 0.697
data_RbLa2Cu
_chemical_formula_sum 'Rb4 La8 Cu4'
_cell_length_a 8.958
_cell_length_b 8.958
_cell_length_c 7.304
_cell_angle_alpha 90.00
_cell_angle_beta 90.00
_cell_angle_gamma 90.00
_symmetry_space_group_name_H-M 'I -4 2 d'
_symmetry_Int_Tables_number 122
_symmetry_space_group_name_Hall 'I -4 2bw'
loop_
_atom_site_label
_atom_site_type_symbol
_atom_site_fract_x
_atom_site_fract_y
_atom_site_fract_z
_atom_site_occupancy
Rb1 Rb 0.000 0.000 0.000 1
La1 La 0.177 0.750 0.625 1
Cu1 Cu 0.000 0.000 0.500 1

=====

Version ii
# RbLa2Cu PBE optimized geometry
# - spin magnetization (μB/atom) = 0.00
# - N(E_F) (states/eV/atom) = 1.171
data_RbLa2Cu
_chemical_formula_sum 'Rb4 La8 Cu4'
_cell_length_a 7.882
_cell_length_b 7.882
_cell_length_c 7.882
_cell_angle_alpha 90.00
_cell_angle_beta 90.00
_cell_angle_gamma 90.00
_symmetry_space_group_name_H-M 'F m -3 m'
_symmetry_Int_Tables_number 225
_symmetry_space_group_name_Hall '-F 4 2 3'
loop_
_atom_site_label
_atom_site_type_symbol
_atom_site_fract_x
_atom_site_fract_y
_atom_site_fract_z
_atom_site_occupancy
Rb1 Rb 0.000 0.000 0.000 1
La1 La 0.250 0.250 0.250 1
Cu1 Cu 0.000 0.000 0.500 1

=====

It is version ii that is the least stable of them.

=====

Version i
# RbLaCuS2 PBE optimized geometry
# - spin magnetization (μB/atom) = 0.14
# - N(E_F) (states/eV/atom) = 0.700
data_RbLaCuS2
_chemical_formula_sum 'Rb1 La1 Cu1 S2'
_cell_length_a 5.000
_cell_length_b 5.000
_cell_length_c 4.796
_cell_angle_alpha 90.00
_cell_angle_beta 90.00
_cell_angle_gamma 90.00
_symmetry_space_group_name_H-M 'P 4/m m m'
_symmetry_Int_Tables_number 123
_symmetry_space_group_name_Hall '-P 4 2'
loop_
_atom_site_label
_atom_site_type_symbol
_atom_site_fract_x
_atom_site_fract_y
_atom_site_fract_z
_atom_site_occupancy
Rb1 Rb 0.000 0.000 0.000 1
La1 La 0.500 0.500 0.000 1
Cu1 Cu 0.000 0.000 0.500 1
S1 S 0.000 0.500 0.500 1

=====

Version ii
# RbLaCuS2 PBE optimized geometry
# - spin magnetization (μB/atom) = 0.00
# - N(E_F) (states/eV/atom) = 0.497
data_RbLaCuS2
_chemical_formula_sum 'Rb2 La2 Cu2 S4'
_cell_length_a 7.733
_cell_length_b 4.774
_cell_length_c 8.429
_cell_angle_alpha 90.00
_cell_angle_beta 100.95
_cell_angle_gamma 90.00
_symmetry_space_group_name_H-M 'P 1 2/c 1'
_symmetry_Int_Tables_number 13
_symmetry_space_group_name_Hall '-P 2yc'
loop_
_atom_site_label
_atom_site_type_symbol
_atom_site_fract_x
_atom_site_fract_y
_atom_site_fract_z
_atom_site_occupancy
Rb1 Rb 0.000 0.175 0.250 1
La1 La 0.500 0.489 0.750 1
Cu1 Cu 0.500 0.000 0.000 1
S1 S 0.277 0.300 0.965 1

=====

It is version i that is the least stable of them.